Pm3MgAg after structural relaxation. Source: Alexandria via LeMat-Bulk, functional PBE.

Unit cell a=7.171 b=7.171 c=13.801 alpha=90.21 beta=90.21 gamma=56.17
Sites, in units of the cell vectors:
1 Pm 0.629 0.013 0.397
2 Pm 0.919 0.922 0.618
3 Pm 0.013 0.629 0.897
4 Pm 0.832 0.469 0.693
5 Pm 0.987 0.371 0.103
6 Pm 0.081 0.078 0.382
7 Mg 0.593 0.576 0.425
8 Mg 0.407 0.424 0.575
9 Pm 0.469 0.832 0.193
10 Mg 0.424 0.407 0.075
11 Pm 0.168 0.531 0.307
12 Pm 0.371 0.987 0.603
13 Ag 0.333 0.667 0.750
14 Pm 0.531 0.168 0.807
15 Pm 0.078 0.081 0.882
16 Mg 0.576 0.593 0.925
17 Pm 0.922 0.919 0.118
18 Ag 0.500 0.000 0.000
19 Ag 0.000 0.500 0.500
20 Ag 0.667 0.333 0.250

Its space-group type is C2/c. The value obtained for the total magnetization is 0.0 μB/f.u. The value obtained for the polymorph energy (0 for the lowest one) is 63 meV per atom. The formation energy from the elements comes out at -45 meV/atom.